one:
# MnIr2I (PBE, optimized geometry)
data_MnIr2I
_chemical_formula_sum 'Mn2 Ir4 I2'
_cell_length_a 6.382
_cell_length_b 6.382
_cell_length_c 6.382
_cell_angle_alpha 122.78
_cell_angle_beta 122.78
_cell_angle_gamma 85.25
_symmetry_space_group_name_H-M 'P 1'
_symmetry_Int_Tables_number 1
_symmetry_space_group_name_Hall 'P 1'
loop_
_atom_site_label
_atom_site_fract_x
_atom_site_fract_y
_atom_site_fract_z
_atom_site_occupancy
Mn1 0.000 0.000 0.000 1
Mn2 0.750 0.250 0.500 1
Ir1 0.071 0.625 0.946 1
Ir2 0.375 0.321 0.446 1
Ir3 0.679 0.125 0.054 1
Ir4 0.875 0.929 0.554 1
I1 0.250 0.750 0.500 1
I2 0.500 0.500 0.000 1
# Calculated density ... 10.722 Mg/m³
# V ... 21.9 A^3/atom

=====

two:
# MnIr2I (PBE, optimized geometry)
data_MnIr2I
_chemical_formula_sum 'Mn1 Ir2 I1'
_cell_length_a 4.510
_cell_length_b 4.510
_cell_length_c 4.510
_cell_angle_alpha 60.00
_cell_angle_beta 60.00
_cell_angle_gamma 60.00
_symmetry_space_group_name_H-M 'P 1'
_symmetry_Int_Tables_number 1
_symmetry_space_group_name_Hall 'P 1'
loop_
_atom_site_label
_atom_site_fract_x
_atom_site_fract_y
_atom_site_fract_z
_atom_site_occupancy
Mn1 0.000 0.000 0.000 1
Ir1 0.250 0.250 0.250 1
Ir2 0.750 0.750 0.750 1
I1 0.500 0.500 0.500 1
# Calculated density ... 14.496 Mg/m³
# V ... 16.2 A^3/atom

=====

Result of the stability comparison: two is the least stable of them.